No. 1
CeThCoCu | GGA-PBE | optimized geometry

Structure (POSCAR):
```
CeThCoCu
1.0
0.000 3.475 3.475
3.475 0.000 3.475
3.475 3.475 0.000
Ce Th Co Cu
1 1 1 1
Direct
0.000 0.000 0.000 Ce
0.500 0.500 0.500 Th
0.250 0.250 0.250 Co
0.750 0.750 0.750 Cu
```

- crystal system = cubic
- DOS at the Fermi energy (states/eV per cell) = 6.3
- space group = F-43m
- calculated formation energy (eV/atom) = -0.063
- calculated total energy (Ry per atom) = -0.456

No. 2
CrAgI4 | GGA-PBE | optimized geometry

Structure (POSCAR):
```
CrAgI4
1.0
7.013 -2.043 0.000
7.013 2.043 0.000
-0.871 0.000 7.582
Cr Ag I
1 1 4
Direct
0.000 0.000 0.000 Cr
0.500 0.500 0.500 Ag
0.109 0.109 0.323 I
0.385 0.385 0.107 I
0.615 0.615 0.893 I
0.891 0.891 0.677 I
```

- crystal system = monoclinic
- DOS at the Fermi energy (states/eV per cell) = 0.8
- ΔE_f (raw) (eV per atom) = -0.298
- space group = C2/m
- calculated total energy (Ry per atom) = -0.251